Entry 1:
The following is a PBE-GGA calculation of an optimized crystal structure of Al8FeGe2, from Alexandria via LeMat-Bulk.

The final energy is -4.3296 eV per atom. The value obtained for the mass density is 3.9 g/cm3. The formation energy is 0.001 eV per atom.

The space group is Immm (No. 71) and the conventional cell measures 4.060, 7.435 and 11.904 Å, with angles of 90.00, 90.00 and 90.00 degrees. The distinct sites, in fractional coordinates, are Al at (0.000, 0.000, 0.186), Al at (0.000, 0.206, 0.000), Al at (0.000, 0.254, 0.345), Fe at (0.000, 0.500, 0.500) and Ge at (0.000, 0.500, 0.127).

=====

Entry 2:
The following is a PBE-GGA calculation of an optimized crystal structure of Al2FeGe, from Alexandria via LeMat-Bulk.

The final energy is -5.1350 eV per atom. The value obtained for the mass density is 5.1 g/cm3. The formation energy is 0.006 eV per atom.

The space group is R-3m (No. 166, hexagonal axes) and the conventional cell measures 2.9162, 2.9162 and 24.3151 Å, with angles of 90.00, 90.00 and 120.00 degrees. The distinct sites, in fractional coordinates, are Al at (0.0000, 0.0000, 0.2410), Fe at (0.0000, 0.0000, 0.5000) and Ge at (0.0000, 0.0000, 0.0000).

=====

Entry 3:
The following is a PBE-GGA calculation of an optimized crystal structure of Al2Fe2Ge, from Alexandria via LeMat-Bulk.

The final energy is -5.9796 eV per atom. The value obtained for the mass density is 5.9 g/cm3. The energy above the most stable polymorph in this dataset is 0 meV/atom. The formation energy is -0.174 eV per atom.

The space group is P4/mbm (No. 127) and the conventional cell measures 5.966, 5.966 and 3.773 Å, with angles of 90.00, 90.00 and 90.00 degrees. The distinct sites, in fractional coordinates, are Al at (0.158, 0.342, 0.000), Fe at (0.145, 0.645, 0.500) and Ge at (0.000, 0.000, 0.500).

=====

Entry 4:
The following is a PBE-GGA calculation of an optimized crystal structure of AlFe3Ge, from Alexandria via LeMat-Bulk.

The final energy is -6.9165 eV per atom. The value obtained for the mass density is 6.7 g/cm3. The energy above the most stable polymorph in this dataset is 0 meV/atom. The formation energy is -0.167 eV per atom.

The space group is R-3m (No. 166, hexagonal axes) and the conventional cell measures 5.0440, 5.0440 and 18.1382 Å, with angles of 90.00, 90.00 and 120.00 degrees. The distinct sites, in fractional coordinates, are Al at (0.0000, 0.0000, 0.1056), Fe at (0.0029, 0.5015, 0.1100) and Ge at (0.0000, 0.0000, 0.3332).

=====

Entry 5:
The following is a PBE-GGA calculation of an optimized crystal structure of AlFeHgGe2, from Alexandria via LeMat-Bulk.

The final energy is -3.0200 eV per atom. The value obtained for the mass density is 5.2 g/cm3. The formation energy is 1.328 eV per atom.

The space group is P4/mmm (No. 123) and the conventional cell measures 5.247, 5.247 and 4.972 Å, with angles of 90.00, 90.00 and 90.00 degrees. The distinct sites, in fractional coordinates, are Al at (0.000, 0.000, 0.000), Fe at (0.500, 0.500, 0.000), Hg at (0.000, 0.000, 0.500) and Ge at (0.000, 0.500, 0.500).

=====

Entry 6:
The following is a PBE-GGA calculation of an optimized crystal structure of AlFeGeIr, from Alexandria via LeMat-Bulk.

The final energy is -6.7681 eV per atom. The value obtained for the mass density is 11.0 g/cm3. The formation energy is -0.347 eV per atom.

The space group is F-43m (No. 216) and the conventional cell measures 5.943, 5.943 and 5.943 Å, with angles of 90.00, 90.00 and 90.00 degrees. The distinct sites, in fractional coordinates, are Al at (0.000, 0.000, 0.000), Fe at (0.250, 0.250, 0.250), Ge at (0.000, 0.000, 0.500) and Ir at (0.250, 0.250, 0.750).

=====

Entry 7:
The following is a PBE-GGA calculation of an optimized crystal structure of AlFeGeIr2, from Alexandria via LeMat-Bulk.

The final energy is -6.0765 eV per atom. The value obtained for the mass density is 10.2 g/cm3. The formation energy is 0.832 eV per atom.

The space group is P4/mmm (No. 123) and the conventional cell measures 4.504, 4.504 and 4.343 Å, with angles of 90.00, 90.00 and 90.00 degrees. The distinct sites, in fractional coordinates, are Al at (0.000, 0.000, 0.000), Fe at (0.000, 0.000, 0.500), Ge at (0.500, 0.500, 0.000) and Ir at (0.000, 0.500, 0.500).

=====

Entry 8:
The following is a PBE-GGA calculation of an optimized crystal structure of LaAlFe2Ge4, from Alexandria via LeMat-Bulk.

The final energy is -5.6322 eV per atom. The value obtained for the mass density is 6.4 g/cm3. The formation energy is -0.124 eV per atom.

The space group is P4/mmm (No. 123) and the conventional cell measures 4.605, 4.605 and 6.969 Å, with angles of 90.00, 90.00 and 90.00 degrees. The distinct sites, in fractional coordinates, are La at (0.000, 0.000, 0.000), Al at (0.000, 0.000, 0.500), Fe at (0.500, 0.500, 0.163) and Ge at (0.000, 0.500, 0.303).